Entry 1:
Below is an optimized crystal structure of SmGd3C, with properties calculated at the PBE-GGA level.

a b c (Å): 5.1142 5.1142 5.1142
angles (deg): 90.00 90.00 90.00
Closest atoms and distances in Å follow each position.
Space group Pm-3m (No. 221)
Inequivalent atoms, fractional coordinates:
Sm 0.0000 0.0000 0.0000  12 Gd 3.62
Gd 0.0000 0.5000 0.5000  2 C 2.56
C 0.5000 0.5000 0.5000  6 Gd 2.56

Calculated values
theoretical density	7.87	Mg/m³
formation energy from the elements	0.018	eV per atom
N(E_F)	8.5	states/eV/f.u.



Entry 2:
Below is an optimized crystal structure of SiTcRuC, with properties calculated at the PBE-GGA level.

a b c (Å): 2.8523 3.9099 5.0523
angles (deg): 69.02 89.97 68.70
Closest atoms and distances in Å follow each position.
Space group P1 (No. 1)
Inequivalent atoms, fractional coordinates:
Si 0.0000 0.0000 0.0000  3 Ru 2.40-2.50, 2 C 2.47-2.49, 2 Tc 2.54-2.55
Tc 0.3964 0.2130 0.3328  3 C 2.08-2.17
Ru 0.2096 0.5863 0.7280  2 C 2.11
C 0.7001 0.6076 0.4144  3 Tc 2.08-2.17, 2 Ru 2.11

Calculated values
excess energy over the best structure of this formula in the dataset	0.084	eV per atom
theoretical density	8.19	Mg/m³
energy relative to the elements, uncorrected	23	kJ/mol of formula units
N(E_F)	1.6	states/eV/f.u.



Entry 3:
Below is an optimized crystal structure of TbAgHg2, with properties calculated at the PBE-GGA level.

a b c (Å): 4.5745 4.5745 4.5057
angles (deg): 90.00 90.00 90.00
Closest atoms and distances in Å follow each position.
Space group P4/mmm (No. 123)
Inequivalent atoms, fractional coordinates:
Tb 0.0000 0.0000 0.0000  8 Hg 3.21, 4 Ag 3.23
Ag 0.5000 0.5000 0.0000  8 Hg 3.21, 4 Tb 3.23
Hg 0.0000 0.5000 0.5000  4 Tb 3.21, 4 Ag 3.21, 4 Hg 3.23

Calculated values
theoretical density	11.76	Mg/m³
formation energy from the elements	-0.247	eV per atom
N(E_F)	3.2	states/eV/f.u.



Entry 4:
Below is an optimized crystal structure of Cs2MgNpO6, with properties calculated at the PBE-GGA level.

a b c (Å): 6.1136 6.1136 8.6325
angles (deg): 90.00 90.00 90.00
Closest atoms and distances in Å follow each position.
Space group I4/mmm (No. 139)
Inequivalent atoms, fractional coordinates:
Cs 0.0000 0.5000 0.2500  12 O 3.06
Mg 0.0000 0.0000 0.0000  6 O 2.28-2.29
Np 0.0000 0.0000 0.5000  6 O 2.03-2.04
O 0.0000 0.0000 0.2639  1 Np 2.04, 1 Mg 2.28
O 0.2353 0.2353 0.5000  1 Np 2.03

Calculated values
theoretical density	6.41	Mg/m³
energy relative to the elements, uncorrected	-2013	kJ/mol of formula units
N(E_F)	7.7	states/eV/f.u.



Entry 5:
Below is an optimized crystal structure of MgTa2W2, with properties calculated at the PBE-GGA level.

a b c (Å): 7.7184 7.7184 3.1663
angles (deg): 90.00 90.00 90.00
Closest atoms and distances in Å follow each position.
Space group P4/mbm (No. 127)
Inequivalent atoms, fractional coordinates:
Mg 0.0000 0.0000 0.0000  4 Ta 2.98, 2 Mg 3.17, 8 W 3.33
Ta 0.1413 0.3587 0.0000  6 W 2.74-2.77, 2 Mg 2.98
W 0.1534 0.6534 0.5000  6 Ta 2.74-2.77

Calculated values
excess energy over the best structure of this formula in the dataset	0.000	eV per atom
theoretical density	13.27	Mg/m³
formation energy from the elements	0.566	eV per atom
N(E_F)	6.2	states/eV/f.u.



Entry 6:
Below is an optimized crystal structure of AlZnIn2Re, with properties calculated at the PBE-GGA level.

a b c (Å): 5.2441 5.2441 4.6304
angles (deg): 90.00 90.00 90.00
Closest atoms and distances in Å follow each position.
Space group P4/mmm (No. 123)
Inequivalent atoms, fractional coordinates:
Al 0.0000 0.0000 0.0000  2 Zn 2.32
Zn 0.0000 0.0000 0.5000  2 Al 2.32
In 0.0000 0.5000 0.0000  2 Al 2.62
Re 0.5000 0.5000 0.5000  8 In 3.50, 4 Zn 3.71

Calculated values
theoretical density	6.63	Mg/m³
formation energy from the elements	1.395	eV per atom
N(E_F)	2.7	states/eV/f.u.



Entry 7:
Below is an optimized crystal structure of Ti4Ni3Pd2, with properties calculated at the PBE-GGA level.

a b c (Å): 8.4506 3.8543 8.2005
angles (deg): 90.00 107.33 90.00
Closest atoms and distances in Å follow each position.
Space group C2/m (No. 12)
Inequivalent atoms, fractional coordinates:
Ti 0.0279 0.0000 0.3443  6 Ni 2.55-2.76, 3 Pd 2.64-2.83, 1 Ti 2.73
Ti 0.1631 0.5000 0.8906  4 Ni 2.68-2.75, 4 Pd 2.68-2.75, 4 Ti 2.74-2.86
Ni 0.0000 0.0000 0.0000  8 Ti 2.68-2.76, 4 Pd 2.78
Ni 0.1563 0.5000 0.5533  3 Ni 2.52-2.79, 6 Ti 2.55-2.76, 3 Pd 2.73-2.74
Pd 0.1777 0.5000 0.2260  7 Ti 2.64-2.83, 5 Ni 2.73-2.78

Calculated values
theoretical density	7.56	Mg/m³
formation energy from the elements	-0.402	eV per atom
N(E_F)	10.5	states/eV/f.u.